Material: PrYAgPd
Method: DFT, GGA-PBE
State: optimized geometry

```
PrYAgPd
1.0
5.164 0.000 0.000
2.582 4.473 0.000
2.582 1.491 4.217
Pr Y Pd Ag
1 1 1 1
direct
0.250 0.250 0.250
0.750 0.750 0.750
0.500 0.500 0.500
0.000 0.000 0.000
```

Calculated values
ΔE to the lowest computed polymorph (eV per formula unit): 0.069
Space group: No. 216
Magnetization (μB/f.u.): 0.0

---

Material: Pr2Zn3AgPd4
Method: DFT, GGA-PBE
State: optimized geometry

```
Pr2Zn3AgPd4
1.0
-1.533 2.634 2.818
-3.352 -2.410 0.430
5.268 -5.842 8.327
Pr Zn Ag Pd
2 3 1 4
direct
0.500 0.000 0.244
0.000 0.500 0.756
0.000 0.000 0.500
0.500 0.000 0.872
0.000 0.500 0.128
0.500 0.500 0.500
0.500 0.500 0.000
0.000 0.000 0.000
0.500 0.000 0.653
0.000 0.500 0.347
```

Calculated values
DFT total energy (eV per atom): -4.267
Space group: No. 115
Magnetization (μB/f.u.): 0.0

---

Material: PrZn3AgPd
Method: DFT, GGA-PBE
State: optimized geometry

```
PrZn3AgPd
1.0
-4.973 2.582 1.657
1.567 -0.631 5.686
2.284 6.338 -3.021
Pr Zn Ag Pd
2 6 2 2
direct
0.750 0.292 0.583
0.250 0.708 0.417
0.250 0.127 0.255
0.000 0.289 0.000
0.500 0.711 0.000
0.500 0.289 0.000
0.000 0.711 0.000
0.750 0.873 0.745
0.250 0.348 0.696
0.750 0.652 0.304
0.250 0.910 0.821
0.750 0.090 0.179
```

Calculated values
DFT total energy (eV per atom): -3.031
Space group: No. 63
Magnetization (μB/f.u.): 0.0

---

Material: Pr2Zn4AgPd3
Method: DFT, GGA-PBE
State: optimized geometry

```
Pr2Zn4AgPd3
1.0
4.314 0.000 0.000
0.000 4.314 0.000
0.000 0.000 10.671
Pr Zn Ag Pd
2 4 1 3
direct
0.500 0.000 0.247
0.000 0.500 0.753
0.500 0.500 0.000
0.000 0.000 0.000
0.500 0.000 0.635
0.000 0.500 0.365
0.500 0.500 0.500
0.000 0.000 0.500
0.500 0.000 0.869
0.000 0.500 0.131
```

Calculated values
DFT total energy (eV per atom): -3.822
Space group: No. 115
Magnetization (μB/f.u.): 0.0

---

Material: PrZn2Ag2Pd
Method: DFT, GGA-PBE
State: optimized geometry

```
PrZn2Ag2Pd
1.0
4.839 0.000 0.000
0.000 4.839 0.000
0.000 0.000 5.592
Pr Zn Ag Pd
1 2 2 1
direct
0.000 0.000 0.500
0.500 0.000 0.000
0.000 0.500 0.000
0.500 0.500 0.742
0.500 0.500 0.258
0.000 0.000 0.000
```

Calculated values
DFT total energy (eV per atom): -3.211
Space group: No. 123
Magnetization (μB/f.u.): 0.0

---

Material: PrZrAgPd
Method: DFT, GGA-PBE
State: optimized geometry

```
PrZrAgPd
1.0
-0.793 -4.865 -1.006
3.903 -3.069 -0.813
1.199 -3.502 3.408
Pr Zr Pd Ag
1 1 1 1
direct
0.000 0.000 0.000
0.500 0.500 0.500
0.250 0.250 0.250
0.750 0.750 0.750
```

Calculated values
DFT total energy (eV per atom): -5.586
Space group: No. 216
Magnetization (μB/f.u.): 0.0

---

Material: AgPd3Pt3
Method: DFT, GGA-PBE
State: optimized geometry

```
AgPd3Pt3
1.0
5.816 0.000 2.958
2.156 5.401 2.958
-0.133 -0.090 7.459
Ag Pd Pt
2 6 6
direct
0.674 0.674 0.979
0.326 0.326 0.021
0.282 0.801 0.820
0.801 0.096 0.820
0.096 0.282 0.820
0.904 0.718 0.180
0.199 0.904 0.180
0.718 0.199 0.180
0.250 0.425 0.392
0.932 0.250 0.392
0.425 0.932 0.392
0.575 0.068 0.608
0.068 0.750 0.608
0.750 0.575 0.608
```

Calculated values
ΔE to the lowest computed polymorph (eV per formula unit): 0.000
Space group: No. 148
Magnetization (μB/f.u.): 0.0

---

Material: Ag2Pd3Pt2
Method: DFT, GGA-PBE
State: optimized geometry

```
Ag2Pd3Pt2
1.0
5.104 -1.315 -0.955
0.031 5.968 2.874
-1.663 1.666 4.852
Ag Pd Pt
2 3 2
direct
0.350 0.026 0.627
0.650 0.974 0.373
0.000 0.000 0.000
0.252 0.506 0.747
0.748 0.494 0.253
0.239 0.566 0.196
0.761 0.434 0.804
```

Calculated values
DFT total energy (eV per atom): -4.668
Space group: No. 2
Magnetization (μB/f.u.): 0.0

---

Q: Which value of magnetization does entry 4 give?
A: 0.0 μB/f.u.

---

Q: magnetization of number 8 (Ag2Pd3Pt2)?
A: 0.0 μB/f.u.

---

Q: magnetization of number 8 (Ag2Pd3Pt2)?
A: 0.0 μB/f.u.